Entry 1:
First-principles (GGA-PBE) data for a relaxed structure of LaHBr2, as listed in Alexandria via LeMat-Bulk.

```
4
Lattice="2.060 1.189 7.529 -2.060 1.189 7.529 0.000 -2.379 7.529" Properties=species:S:1:pos:R:3 pbc="T T T"
La 0.000 0.000 0.000
H 0.000 0.000 7.528
Br 0.000 0.000 13.107
Br 0.000 0.000 17.007
```

- Energy above the most stable polymorph in this dataset: 0 meV/atom
- Volume: 27.7 Å³ per atom
- Electronic total energy: -4.52 eV/atom

***

Entry 2:
First-principles (GGA-PBE) data for a relaxed structure of La3HBr, as listed in Alexandria via LeMat-Bulk.

```
5
Lattice="5.041 0.000 0.000 0.000 5.041 0.000 0.000 0.000 5.041" Properties=species:S:1:pos:R:3 pbc="T T T"
La 0.000 0.000 2.521
La 0.000 2.521 0.000
La 2.521 0.000 0.000
H 0.000 0.000 0.000
Br 2.521 2.521 2.521
```

- Energy above the most stable polymorph in this dataset: 0 meV/atom
- Volume: 25.6 Å³ per atom
- Electronic total energy: -4.31 eV/atom

***

Entry 3:
First-principles (GGA-PBE) data for a relaxed structure of LaH3Br, as listed in Alexandria via LeMat-Bulk.

```
5
Lattice="4.143 0.000 0.000 0.000 4.143 0.000 0.000 0.000 4.143" Properties=species:S:1:pos:R:3 pbc="T T T"
La 0.000 0.000 0.000
H 0.000 2.072 2.072
H 2.072 0.000 2.072
H 2.072 2.072 0.000
Br 2.072 2.072 2.072
```

- Energy above the most stable polymorph in this dataset: 701 meV/atom
- Volume: 14.2 Å³ per atom
- Electronic total energy: -2.81 eV/atom

***

Entry 4:
First-principles (GGA-PBE) data for a relaxed structure of LaHBr2, as listed in Alexandria via LeMat-Bulk.

```
4
Lattice="0.000 3.593 3.593 3.593 0.000 3.593 3.593 3.593 0.000" Properties=species:S:1:pos:R:3 pbc="T T T"
La 0.000 0.000 0.000
H 3.593 3.593 3.593
Br 1.797 1.797 1.797
Br 5.390 5.390 5.390
```

- Energy above the most stable polymorph in this dataset: 568 meV/atom
- Volume: 23.2 Å³ per atom
- Electronic total energy: -3.95 eV/atom

***

Entry 5:
First-principles (GGA-PBE) data for a relaxed structure of LaHBr4, as listed in Alexandria via LeMat-Bulk.

```
12
Lattice="-5.007 5.007 4.389 5.007 -5.007 4.389 5.007 5.007 -4.389" Properties=species:S:1:pos:R:3 pbc="T T T"
La 0.000 0.000 0.000
La 0.000 5.007 2.194
H 5.007 0.000 0.495
H 0.000 0.000 2.689
Br 5.007 1.710 0.234
Br 3.297 5.007 -1.960
Br 1.710 0.000 2.428
Br 0.000 2.964 0.061
Br 0.000 7.050 0.061
Br 2.964 5.007 2.255
Br 2.043 0.000 6.643
Br 0.000 3.297 4.623
```

- Volume: 36.7 Å³ per atom
- Electronic total energy: -3.83 eV/atom

***

Entry 6:
First-principles (GGA-PBE) data for a relaxed structure of La2HBr3, as listed in Alexandria via LeMat-Bulk.

```
12
Lattice="8.647 -2.079 0.000 8.647 2.079 0.000 -5.487 0.000 9.957" Properties=species:S:1:pos:R:3 pbc="T T T"
La -0.912 0.000 4.623
La 5.118 0.000 2.061
La 6.689 0.000 7.896
La 12.719 0.000 5.334
H -2.376 0.000 6.543
H 14.183 0.000 3.414
Br 2.704 0.000 0.048
Br 2.528 0.000 3.725
Br 3.686 0.000 7.524
Br 8.121 0.000 2.433
Br 9.279 0.000 6.232
Br 9.103 0.000 9.909
```

- Volume: 29.8 Å³ per atom
- Electronic total energy: -4.52 eV/atom

***

Entry 7:
First-principles (GGA-PBE) data for a relaxed structure of LaH3Br, as listed in Alexandria via LeMat-Bulk.

```
5
Lattice="4.407 0.000 0.000 0.000 4.407 0.000 0.000 0.000 4.407" Properties=species:S:1:pos:R:3 pbc="T T T"
La 0.000 0.000 0.000
H 0.000 0.000 2.204
H 0.000 2.204 0.000
H 2.204 0.000 0.000
Br 2.204 2.204 2.204
```

- Energy above the most stable polymorph in this dataset: 0 meV/atom
- Volume: 17.1 Å³ per atom
- Electronic total energy: -3.51 eV/atom

***

Entry 8:
First-principles (GGA-PBE) data for a relaxed structure of LaHBr2, as listed in Alexandria via LeMat-Bulk.

```
8
Lattice="4.122 0.000 0.000 -2.061 3.569 0.000 0.000 0.000 14.926" Properties=species:S:1:pos:R:3 pbc="T T T"
La 0.000 0.000 3.732
La 0.000 0.000 11.195
H 0.000 2.380 3.732
H 2.061 1.190 11.195
Br 0.000 2.380 9.246
Br 0.000 2.380 13.144
Br 2.061 1.190 1.783
Br 2.061 1.190 5.680
```

- Energy above the most stable polymorph in this dataset: 0 meV/atom
- Volume: 27.4 Å³ per atom
- Electronic total energy: -4.52 eV/atom